(1)
## Y2RuRh2 (GGA-PBEsol)

Data for a geometry-optimized Y2RuRh2 structure.

Values from the calculation:
Crystal system   tetragonal
Total DFT energy (no corrections)   -8.01 eV/atom

a = 5.3823 Å, b = 5.3823 Å, c = 7.2125 Å
α = 90.00°, β = 90.00°, γ = 90.00°
Space group I4/mmm (No. 139)
Unique sites:
1 Y 0.0000 0.5000 0.2500 (multiplicity 4)
2 Ru 0.0000 0.0000 0.0000 (multiplicity 2)
3 Rh 0.0000 0.0000 0.3323 (multiplicity 4)

(2)
## CsMnCl3 (GGA-PBEsol)

Data for a geometry-optimized CsMnCl3 structure.

Values from the calculation:
Crystal system   trigonal
Total DFT energy (no corrections)   -4.79 eV/atom
Raw formation energy   -1.4414 eV/atom

a = 7.1997 Å, b = 7.1997 Å, c = 26.9407 Å
α = 90.00°, β = 90.00°, γ = 120.00°
Space group R-3m (No. 166, hexagonal axes)
Unique sites:
1 Cs 0.0000 0.0000 0.0000 (multiplicity 3)
2 Cs 0.0000 0.0000 0.2202 (multiplicity 6)
3 Mn 0.0000 0.0000 0.3844 (multiplicity 6)
4 Mn 0.0000 0.0000 0.5000 (multiplicity 3)
5 Cl 0.0000 0.5000 0.0000 (multiplicity 9)
6 Cl 0.0175 0.5088 0.2239 (multiplicity 18)

(3)
## BeRh3 (GGA-PBEsol)

Data for a geometry-optimized BeRh3 structure.

Values from the calculation:
Crystal system   tetragonal
Total DFT energy (no corrections)   -7.38 eV/atom

a = 2.7057 Å, b = 2.7057 Å, c = 6.5088 Å
α = 90.00°, β = 90.00°, γ = 90.00°
Space group P4/mmm (No. 123)
Unique sites:
1 Be 0.0000 0.0000 0.0000 (multiplicity 1)
2 Rh 0.0000 0.0000 0.5000 (multiplicity 1)
3 Rh 0.5000 0.5000 0.2122 (multiplicity 2)

(4)
## LiZnTe2 (GGA-PBEsol)

Data for a geometry-optimized LiZnTe2 structure.

Values from the calculation:
Crystal system   monoclinic
Total DFT energy (no corrections)   -2.93 eV/atom
Raw formation energy   -0.2822 eV/atom

a = 6.2334 Å, b = 7.8667 Å, c = 4.1883 Å
α = 90.00°, β = 113.38°, γ = 90.00°
Space group C2/m (No. 12)
Unique sites:
1 Li 0.0000 0.0000 0.0000 (multiplicity 2)
2 Zn 0.0000 0.5000 0.0000 (multiplicity 2)
3 Te 0.2500 0.2500 0.5000 (multiplicity 4)

(5)
## Mn2PBr (GGA-PBEsol)

Data for a geometry-optimized Mn2PBr structure.

Values from the calculation:
Crystal system   monoclinic
Total DFT energy (no corrections)   -6.92 eV/atom
Raw formation energy   -0.1250 eV/atom

a = 6.2553 Å, b = 3.6060 Å, c = 6.1311 Å
α = 90.00°, β = 110.05°, γ = 90.00°
Space group C2/m (No. 12)
Unique sites:
1 Mn 0.2175 0.0000 0.1508 (multiplicity 4)
2 P 0.0000 0.5000 0.0000 (multiplicity 2)
3 Br 0.0000 0.0000 0.5000 (multiplicity 2)

(6)
## Ga2Ag2Sn (GGA-PBEsol)

Data for a geometry-optimized Ga2Ag2Sn structure.

Values from the calculation:
Crystal system   tetragonal
Total DFT energy (no corrections)   -3.47 eV/atom

a = 3.8773 Å, b = 3.8773 Å, c = 12.7429 Å
α = 90.00°, β = 90.00°, γ = 90.00°
Space group I4/mmm (No. 139)
Unique sites:
1 Ga 0.0000 0.5000 0.2500 (multiplicity 4)
2 Ag 0.0000 0.0000 0.1060 (multiplicity 4)
3 Sn 0.0000 0.0000 0.5000 (multiplicity 2)

(7)
## La3BeI (GGA-PBEsol)

Data for a geometry-optimized La3BeI structure.

Values from the calculation:
Crystal system   cubic
Total DFT energy (no corrections)   -3.85 eV/atom
Raw formation energy   0.5091 eV/atom

a = 5.8247 Å, b = 5.8247 Å, c = 5.8247 Å
α = 90.00°, β = 90.00°, γ = 90.00°
Space group Pm-3m (No. 221)
Unique sites:
1 La 0.0000 0.0000 0.5000 (multiplicity 3)
2 Be 0.5000 0.5000 0.5000 (multiplicity 1)
3 I 0.0000 0.0000 0.0000 (multiplicity 1)

(8)
## Mg2PbBr (GGA-PBEsol)

Data for a geometry-optimized Mg2PbBr structure.

Values from the calculation:
Crystal system   trigonal
Total DFT energy (no corrections)   -2.72 eV/atom
Raw formation energy   -0.3920 eV/atom

a = 3.9887 Å, b = 3.9887 Å, c = 22.7850 Å
α = 90.00°, β = 90.00°, γ = 120.00°
Space group R-3m (No. 166, hexagonal axes)
Unique sites:
1 Mg 0.0000 0.0000 0.2470 (multiplicity 6)
2 Pb 0.0000 0.0000 0.5000 (multiplicity 3)
3 Br 0.0000 0.0000 0.0000 (multiplicity 3)

(9)
## YSiIr2 (GGA-PBEsol)

Data for a geometry-optimized YSiIr2 structure.

Values from the calculation:
Crystal system   tetragonal
Total DFT energy (no corrections)   -8.41 eV/atom
Raw formation energy   -0.3608 eV/atom

a = 3.4077 Å, b = 3.4077 Å, c = 5.8515 Å
α = 90.00°, β = 90.00°, γ = 90.00°
Space group P4mm (No. 99)
Unique sites:
1 Y 0.0000 0.0000 0.0000 (multiplicity 1)
2 Si 0.5000 0.5000 0.6544 (multiplicity 1)
3 Ir 0.0000 0.0000 0.5323 (multiplicity 1)
4 Ir 0.5000 0.5000 0.2452 (multiplicity 1)

(10)
## TeRuSN2 (GGA-PBEsol)

Data for a geometry-optimized TeRuSN2 structure.

Values from the calculation:
Crystal system   tetragonal
Total DFT energy (no corrections)   -5.33 eV/atom
Raw formation energy   1.6971 eV/atom

a = 3.5433 Å, b = 3.5433 Å, c = 6.1451 Å
α = 90.00°, β = 90.00°, γ = 90.00°
Space group P4/mmm (No. 123)
Unique sites:
1 Te 0.0000 0.0000 0.0000 (multiplicity 1)
2 Ru 0.5000 0.5000 0.0000 (multiplicity 1)
3 S 0.0000 0.0000 0.5000 (multiplicity 1)
4 N 0.0000 0.5000 0.5000 (multiplicity 2)

(11)
## MgSbPb2 (GGA-PBEsol)

Data for a geometry-optimized MgSbPb2 structure.

Values from the calculation:
Crystal system   tetragonal
Total DFT energy (no corrections)   -3.61 eV/atom
Raw formation energy   -0.0423 eV/atom

a = 3.9149 Å, b = 3.9149 Å, c = 7.0786 Å
α = 90.00°, β = 90.00°, γ = 90.00°
Space group P4mm (No. 99)
Unique sites:
1 Mg 0.0000 0.0000 0.0000 (multiplicity 1)
2 Sb 0.5000 0.5000 0.7998 (multiplicity 1)
3 Pb 0.0000 0.0000 0.5446 (multiplicity 1)
4 Pb 0.5000 0.5000 0.2477 (multiplicity 1)

(12)
## SrCa2P (GGA-PBEsol)

Data for a geometry-optimized SrCa2P structure.

Values from the calculation:
Crystal system   orthorhombic
Total DFT energy (no corrections)   -3.56 eV/atom

a = 4.0077 Å, b = 4.6962 Å, c = 14.4018 Å
α = 90.00°, β = 90.00°, γ = 90.00°
Space group Amm2 (No. 38)
Unique sites:
1 Sr 0.0000 0.0000 0.0000 (multiplicity 2)
2 Ca 0.0000 0.0000 0.6831 (multiplicity 2)
3 Ca 0.5000 0.0000 0.3420 (multiplicity 2)
4 P 0.5000 0.0000 0.5393 (multiplicity 2)